Entry from Alexandria: a relaxed FePO4 crystal (GGA+U).

Structure (POSCAR):
```
FePO4
1.0
9.235 0.000 0.000
0.000 8.778 0.000
-9.156 0.000 16.005
Fe P O
12 12 48
Cartesian
-3.699 1.729 6.706
-8.277 2.660 14.709
0.712 1.727 3.891
-3.866 2.662 11.894
-0.581 6.084 6.503
-5.159 7.084 14.506
5.239 1.694 1.499
0.661 2.695 9.502
3.945 6.117 4.111
-0.633 7.051 12.114
8.356 6.118 1.296
3.778 7.050 9.299
-8.212 5.938 14.668
-3.634 7.229 6.666
-3.744 5.946 11.833
0.834 7.222 3.831
-5.259 1.577 14.576
-0.681 2.812 6.574
0.761 5.967 9.431
5.339 7.201 1.429
-0.755 1.556 12.174
3.823 2.833 4.172
3.714 1.549 9.340
8.291 2.840 1.337
-8.747 6.536 15.991
-4.169 6.632 7.988
-7.790 4.468 14.890
-3.212 8.700 6.887
-2.409 6.410 6.208
-6.987 6.757 14.210
-4.427 1.618 10.428
0.151 2.771 2.426
-0.183 6.387 3.021
-4.760 6.781 11.024
-6.748 1.590 14.991
-2.170 2.799 6.989
-0.487 1.903 5.340
-5.065 2.486 13.343
-3.835 4.470 11.392
0.743 8.698 3.389
-4.826 0.136 14.218
-0.248 4.253 6.216
-4.073 6.077 13.339
0.505 7.091 5.336
-2.320 6.467 11.555
2.258 6.701 3.553
-4.385 2.118 15.732
0.193 2.271 7.730
-0.113 6.507 8.275
4.465 6.661 0.273
-2.178 2.077 12.452
2.400 2.312 4.450
-0.426 1.687 10.669
4.152 2.702 2.667
0.328 4.525 9.790
4.906 8.643 1.787
-0.664 0.081 12.616
3.914 4.308 4.613
5.144 6.292 2.662
0.566 6.876 10.665
2.249 5.980 9.016
6.827 7.188 1.014
4.840 1.998 4.982
0.262 2.392 12.984
-0.072 6.007 13.579
4.506 7.160 5.577
7.067 2.021 1.795
2.489 2.368 9.797
3.291 0.079 9.118
7.869 4.310 1.116
4.249 2.146 8.017
8.827 2.243 0.014
```

Computed properties:
Its space-group type is P2_1/c (14). As for the total energy: -7.104 eV/atom. As for the density of states at the Fermi level: 0.0 states/eV/f.u.